Version P
Density functional theory data (PBE) for Bi6SbPb12 after structural relaxation.

```
data_Bi6SbPb12
_chemical_formula_sum 'Bi18 Sb3 Pb36'
_cell_length_a 15.4374
_cell_length_b 15.4374
_cell_length_c 8.8219
_cell_angle_alpha 90.00
_cell_angle_beta 90.00
_cell_angle_gamma 120.00
_space_group_name_H-M_alt 'R -3'
_space_group_IT_number 148
_space_group_name_Hall '-R 3'
loop_
_atom_site_label
_atom_site_fract_x
_atom_site_fract_y
_atom_site_fract_z
_atom_site_occupancy
Bi1 0.0427 0.7632 0.3338 1
Sb1 0.0000 0.0000 0.0000 1
Pb1 0.0178 0.8751 0.6657 1
Pb2 0.0749 0.5053 0.6568 1
```

Output
- Fermi-level density of states (states/eV/cell) = 32.51
- crystal system = trigonal



Version Q
Density functional theory data (PBE) for Bi6SbPb12 after structural relaxation.

```
data_Bi6SbPb12
_chemical_formula_sum 'Bi18 Sb3 Pb36'
_cell_length_a 13.7182
_cell_length_b 13.7182
_cell_length_c 13.7703
_cell_angle_alpha 90.00
_cell_angle_beta 90.00
_cell_angle_gamma 120.00
_space_group_name_H-M_alt 'R -3'
_space_group_IT_number 148
_space_group_name_Hall '-R 3'
loop_
_atom_site_label
_atom_site_fract_x
_atom_site_fract_y
_atom_site_fract_z
_atom_site_occupancy
Bi1 0.0590 0.8296 0.1740 1
Sb1 0.0000 0.0000 0.5000 1
Pb1 0.0320 0.8024 0.4163 1
Pb2 0.0647 0.8172 0.9294 1
```

Output
- Fermi-level density of states (states/eV/cell) = 30.49
- crystal system = trigonal



Last place for stability: version Q